VASP calculation (GGA-PBE) on AcSm2DyTm5 after structural relaxation.

Cell lengths 9.855, 9.855, 9.855 Å; angles 126.77, 126.77, 78.63 degrees
Element x y z (fractional)
1 Ac 0.250 0.250 0.000
2 Ac 0.750 0.750 0.000
3 Sm 0.115 0.615 0.731
4 Sm 0.385 0.115 0.500
5 Sm 0.615 0.885 0.500
6 Sm 0.885 0.385 0.269
7 Dy 0.250 0.750 0.500
8 Dy 0.750 0.250 0.500
9 Tm 0.000 0.000 0.000
10 Tm 0.075 0.163 0.500
11 Tm 0.163 0.663 0.088
12 Tm 0.337 0.425 0.500
13 Tm 0.425 0.925 0.088
14 Tm 0.500 0.500 0.000
15 Tm 0.575 0.075 0.912
16 Tm 0.663 0.575 0.500
17 Tm 0.837 0.337 0.912
18 Tm 0.925 0.837 0.500

Results
- E_form: 0.266 eV/atom
- Volume: 33.027 Å³/atom
- DFT total energy: -4.23 eV/atom



VASP calculation (GGA-PBE) on AcSmDy2Tm after structural relaxation.

Cell lengths 9.365, 9.365, 6.447 Å; angles 90.00, 90.00, 139.74 degrees
Element x y z (fractional)
1 Ac 0.159 0.841 0.750
2 Ac 0.841 0.159 0.250
3 Sm 0.347 0.653 0.750
4 Sm 0.653 0.347 0.250
5 Dy 0.252 0.252 0.000
6 Dy 0.252 0.252 0.500
7 Dy 0.748 0.748 0.000
8 Dy 0.748 0.748 0.500
9 Tm 0.248 0.752 0.250
10 Tm 0.752 0.248 0.750

Results
- E_form: 0.397 eV/atom
- Volume: 36.547 Å³/atom
- DFT total energy: -4.10 eV/atom



VASP calculation (GGA-PBE) on AcSm2DyTm after structural relaxation.

Cell lengths 6.408, 5.857, 9.806 Å; angles 90.00, 108.69, 90.00 degrees
Element x y z (fractional)
1 Ac 0.137 0.250 0.106
2 Ac 0.863 0.750 0.894
3 Sm 0.266 0.750 0.698
4 Sm 0.338 0.250 0.502
5 Sm 0.662 0.750 0.498
6 Sm 0.734 0.250 0.302
7 Dy 0.478 0.750 0.107
8 Dy 0.522 0.250 0.893
9 Tm 0.067 0.750 0.311
10 Tm 0.933 0.250 0.689

Results
- E_form: 0.045 eV/atom
- Volume: 34.858 Å³/atom
- DFT total energy: -4.48 eV/atom



Question: The lowest DFT total energy belongs to which entry?
Answer: AcSm2DyTm



Question: The highest DFT total energy belongs to which entry?
Answer: AcSmDy2Tm



Question: Which of these has the lowest E_form?
Answer: AcSm2DyTm